[1]
# Zr3Mo, relaxed, DFT PBE
# D(E_F) (states/eV per cell): 6.4
# Formation enthalpy at 0 K (eV per formula unit): 0.1
data_Zr3Mo
_space_group_name_H-M_alt 'P 4/m m m'
_space_group_IT_number 123
_space_group_name_Hall '-P 4 2'
_cell_length_a 3.3858
_cell_length_b 3.3858
_cell_length_c 7.3145
_cell_angle_alpha 90.00
_cell_angle_beta 90.00
_cell_angle_gamma 90.00
loop_
_atom_site_label
_atom_site_type_symbol
_atom_site_fract_x
_atom_site_fract_y
_atom_site_fract_z
_atom_site_occupancy
Zr1 Zr 0.0000 0.0000 0.0000 1
Zr2 Zr 0.5000 0.5000 0.2824 1
Mo1 Mo 0.0000 0.0000 0.5000 1



[2]
# Zr4Mo5, relaxed, DFT PBE
# D(E_F) (states/eV per cell): 18.3
# Formation enthalpy at 0 K (eV per formula unit): 2.4
data_Zr4Mo5
_space_group_name_H-M_alt 'P 63/m c m'
_space_group_IT_number 193
_space_group_name_Hall '-P 6c 2'
_cell_length_a 8.4814
_cell_length_b 8.4814
_cell_length_c 5.4064
_cell_angle_alpha 90.00
_cell_angle_beta 90.00
_cell_angle_gamma 120.00
loop_
_atom_site_label
_atom_site_type_symbol
_atom_site_fract_x
_atom_site_fract_y
_atom_site_fract_z
_atom_site_occupancy
Zr1 Zr 0.0000 0.0000 0.0000 1
Zr2 Zr 0.0000 0.3679 0.2500 1
Mo1 Mo 0.0000 0.3093 0.7500 1
Mo2 Mo 0.3333 0.6667 0.0000 1



[3]
# Zr3Mo, relaxed, DFT PBE
# D(E_F) (states/eV per cell): 22.6
# Formation enthalpy at 0 K (eV per formula unit): 0.4
data_Zr3Mo
_space_group_name_H-M_alt 'P n m a'
_space_group_IT_number 62
_cell_length_a 6.1951
_cell_length_b 9.3945
_cell_length_c 5.8874
_cell_angle_alpha 90.00
_cell_angle_beta 90.00
_cell_angle_gamma 90.00
loop_
_space_group_symop_operation_xyz
'x,y,z'
'-x,-y,-z'
'-x+1/2,-y,z+1/2'
'x+1/2,y,-z+1/2'
'x+1/2,-y+1/2,-z+1/2'
'-x+1/2,y+1/2,z+1/2'
'-x,y+1/2,-z'
'x,-y+1/2,z'
loop_
_atom_site_label
_atom_site_type_symbol
_atom_site_fract_x
_atom_site_fract_y
_atom_site_fract_z
_atom_site_occupancy
Zr1 Zr 0.0146 0.2500 0.1480 1
Zr2 Zr 0.2173 0.0385 0.6346 1
Mo1 Mo 0.0883 0.7500 0.3807 1